Computed, not measured: a crystal of FeCuPt2 relaxed with PBEsol at the meta-GGA SCAN level of DFT.

N(E_F): 1.73 states/eV per cell
DFT formation energy: -0.3656 eV per atom
Symmetry: Pmmm (47)
M_tot: 3.976 μB per cell

Cell: 2.721 3.580 5.479 Å, 90.00 90.00 90.00°
Sites, in units of the cell vectors:
1 Cu 0.500 0.500 0.000
2 Pt 0.000 0.000 0.750
3 Pt 0.000 0.000 0.250
4 Fe 0.500 0.500 0.500

=====

Computed, not measured: a crystal of NaRe2AuS relaxed with PBEsol at the meta-GGA SCAN level of DFT.

N(E_F): 3.92 states/eV per cell
Symmetry: P4/mmm (123)
E_form (uncorrected): 3.01 eV/atom
M_tot: 5.605 μB per cell

Cell: 4.498 4.685 4.685 Å, 90.00 90.00 90.00°
Sites, in units of the cell vectors:
1 Re 0.000 0.000 0.500
2 Re 0.000 0.500 0.000
3 S 0.500 0.500 0.500
4 Au 0.500 0.000 0.000
5 Na 0.000 0.000 0.000

=====

Computed, not measured: a crystal of YSbBr relaxed with PBEsol at the meta-GGA SCAN level of DFT.

N(E_F): 1.42 states/eV per cell
Symmetry: P3m1 (156)
E_form (uncorrected): -1.10 eV/atom
M_tot: 0.000 μB per cell

Cell: 3.792 3.792 7.264 Å, 90.00 90.00 120.00°
Sites, in units of the cell vectors:
1 Y 0.333 0.667 0.317
2 Sb 0.667 0.333 0.616
3 Br 0.000 0.000 0.067

=====

Computed, not measured: a crystal of SrTl2Fe relaxed with PBEsol at the meta-GGA SCAN level of DFT.

N(E_F): 2.07 states/eV per cell
DFT formation energy: 0.1773 eV per atom
Symmetry: P4/mmm (123)
M_tot: 3.087 μB per cell

Cell: 4.622 4.622 4.627 Å, 90.00 90.00 90.00°
Sites, in units of the cell vectors:
1 Fe 0.500 0.000 0.500
2 Sr 0.000 0.500 0.500
3 Tl 0.000 0.000 0.000
4 Tl 0.500 0.500 0.000

=====

Computed, not measured: a crystal of Y2OsAu relaxed with PBEsol at the meta-GGA SCAN level of DFT.

N(E_F): 2.57 states/eV per cell
DFT formation energy: -0.4067 eV per atom
Symmetry: Cm (8)
M_tot: 0.000 μB per cell

Cell: 3.341 4.890 5.560 Å, 104.89 107.48 90.00°
Sites, in units of the cell vectors:
1 Au 0.525 0.479 0.050
2 Os 0.238 0.788 0.475
3 Y 0.972 0.936 0.945
4 Y 0.765 0.296 0.530

=====

Computed, not measured: a crystal of Nb4FeS8 relaxed with PBEsol at the meta-GGA SCAN level of DFT.

N(E_F): 8.84 states/eV per cell
Symmetry: P6_3/mmc (194)
E_form (uncorrected): -1.14 eV/atom
Offset from the most stable computed form: 0 meV per atom
M_tot: 0.001 μB per cell

Cell: 6.569 6.569 11.452 Å, 90.00 90.00 120.00°
Sites, in units of the cell vectors:
1 Nb 0.000 0.000 0.250
2 Nb 0.000 0.000 0.750
3 Nb 0.013 0.506 0.750
4 Nb 0.494 0.987 0.750
5 Nb 0.494 0.506 0.750
6 Nb 0.987 0.494 0.250
7 Nb 0.506 0.013 0.250
8 Nb 0.506 0.494 0.250
9 Fe 0.000 0.000 0.000
10 Fe 0.000 0.000 0.500
11 S 0.333 0.667 0.608
12 S 0.667 0.333 0.392
13 S 0.667 0.333 0.108
14 S 0.333 0.667 0.892
15 S 0.330 0.165 0.613
16 S 0.835 0.670 0.613
17 S 0.835 0.165 0.613
18 S 0.670 0.835 0.387
19 S 0.165 0.330 0.387
20 S 0.165 0.835 0.387
21 S 0.670 0.835 0.113
22 S 0.165 0.330 0.113
23 S 0.165 0.835 0.113
24 S 0.330 0.165 0.887
25 S 0.835 0.670 0.887
26 S 0.835 0.165 0.887